A geometry-optimized Tl3NiI2O9 structure, computed with GGA+U.

Cell lengths 5.844, 5.844, 7.156 Å; angles 90.00, 90.00, 120.00 degrees
Sites, in units of the cell vectors:
Tl (0.000, 0.000, 0.000)
Tl (0.333, 0.667, 0.670)
Tl (0.667, 0.333, 0.330)
Ni (0.000, 0.000, 0.500)
I (0.333, 0.667, 0.182)
I (0.667, 0.333, 0.818)
O (0.000, 0.500, 0.000)
O (0.176, 0.351, 0.327)
O (0.176, 0.824, 0.327)
O (0.351, 0.176, 0.673)
O (0.500, 0.000, 0.000)
O (0.500, 0.500, 0.000)
O (0.649, 0.824, 0.327)
O (0.824, 0.176, 0.673)
O (0.824, 0.649, 0.673)

Summary:
For the total energy, the calculation gives -4.2168 eV per atom. The crystal system is trigonal.

A geometry-optimized UNiIO6 structure, computed with GGA+U.

Cell lengths 5.586, 5.586, 8.881 Å; angles 90.00, 90.00, 120.00 degrees
Sites, in units of the cell vectors:
U (0.333, 0.667, 0.250)
U (0.667, 0.333, 0.750)
Ni (0.000, 0.000, 0.000)
Ni (0.000, 0.000, 0.500)
I (0.333, 0.667, 0.750)
I (0.667, 0.333, 0.250)
O (0.004, 0.338, 0.628)
O (0.004, 0.666, 0.872)
O (0.334, 0.338, 0.872)
O (0.334, 0.996, 0.628)
O (0.338, 0.004, 0.128)
O (0.338, 0.334, 0.372)
O (0.662, 0.666, 0.628)
O (0.662, 0.996, 0.872)
O (0.666, 0.004, 0.372)
O (0.666, 0.662, 0.128)
O (0.996, 0.334, 0.128)
O (0.996, 0.662, 0.372)

Summary:
For the total energy, the calculation gives -6.4257 eV per atom. The crystal system is trigonal.

A geometry-optimized VNiI2O structure, computed with GGA+U.

Cell lengths 5.566, 5.566, 3.624 Å; angles 90.00, 90.00, 90.00 degrees
Sites, in units of the cell vectors:
V (0.000, 0.000, 0.000)
Ni (0.500, 0.500, 0.500)
I (0.000, 0.500, 0.500)
I (0.500, 0.000, 0.500)
O (0.500, 0.500, 0.000)

Summary:
The value obtained for the distance to the lowest polymorph of the same formula is 361.4 meV/atom. The crystal system is tetragonal.

A geometry-optimized VNiIO2 structure, computed with GGA+U.

Cell lengths 3.972, 3.972, 5.397 Å; angles 90.00, 90.00, 90.00 degrees
Sites, in units of the cell vectors:
V (0.000, 0.000, 0.000)
Ni (0.500, 0.500, 0.500)
I (0.500, 0.500, 0.000)
O (0.000, 0.500, 0.500)
O (0.500, 0.000, 0.500)

Summary:
The value obtained for the distance to the lowest polymorph of the same formula is 548.2 meV/atom. The crystal system is tetragonal.

A geometry-optimized VNiI2O structure, computed with GGA+U.

Cell lengths 5.588, 5.588, 3.670 Å; angles 90.00, 90.00, 90.00 degrees
Sites, in units of the cell vectors:
V (0.000, 0.000, 0.000)
Ni (0.500, 0.500, 0.500)
I (0.000, 0.500, 0.000)
I (0.500, 0.000, 0.000)
O (0.000, 0.000, 0.500)

Summary:
The value obtained for the distance to the lowest polymorph of the same formula is 0.0 meV/atom. The crystal system is tetragonal.

A geometry-optimized VNiIO2 structure, computed with GGA+U.

Cell lengths 3.687, 3.687, 5.905 Å; angles 90.00, 90.00, 90.00 degrees
Sites, in units of the cell vectors:
V (0.000, 0.000, 0.000)
Ni (0.500, 0.500, 0.500)
I (0.000, 0.000, 0.500)
O (0.000, 0.500, 0.000)
O (0.500, 0.000, 0.000)

Summary:
The value obtained for the distance to the lowest polymorph of the same formula is 0.0 meV/atom. The crystal system is tetragonal.

Values for ρ, g cm⁻³, ordered as above
8.4, 7.2, 5.6, 5.2, 5.5, 5.6